(1)
The following is a DFT calculation (PBE) of a geometry-optimized Ca2PdN structure.

Summary:
Its total energy is -75.38 eV/cell. For the density of states at the Fermi level, the calculation gives 9.66 states/eV per cell.

Cell lengths 7.0440, 7.0440, 6.7675 Å; angles 90.00, 90.00, 90.00 degrees
Space group I-42d (No. 122)
Asymmetric unit:
Ca: 0.1734 0.2500 0.1250 [8 per cell]
Pd: 0.0000 0.0000 0.5000 [4 per cell]
N: 0.0000 0.0000 0.0000 [4 per cell]

---

(2)
The following is a DFT calculation (PBE) of a geometry-optimized CaPdN2 structure.

Summary:
Its total energy is -85.59 eV/cell. For the density of states at the Fermi level, the calculation gives 14.65 states/eV per cell.

Cell lengths 5.7388, 5.7388, 5.7388 Å; angles 90.00, 90.00, 90.00 degrees
Space group Fm-3m (No. 225)
Asymmetric unit:
Ca: 0.0000 0.0000 0.0000 [4 per cell]
Pd: 0.0000 0.0000 0.5000 [4 per cell]
N: 0.2500 0.2500 0.2500 [8 per cell]

---

(3)
The following is a DFT calculation (PBE) of a geometry-optimized CaPdN2 structure.

Summary:
Its total energy is -65.29 eV/cell. For the density of states at the Fermi level, the calculation gives 10.40 states/eV per cell.

Cell lengths 3.7637, 3.7637, 17.4843 Å; angles 90.00, 90.00, 120.00 degrees
Space group R-3m (No. 166, hexagonal axes)
Asymmetric unit:
Ca: 0.0000 0.0000 0.0000 [3 per cell]
Pd: 0.0000 0.0000 0.5000 [3 per cell]
N: 0.0000 0.0000 0.3958 [6 per cell]

---

(4)
The following is a DFT calculation (PBE) of a geometry-optimized Ca2PdN structure.

Summary:
Its total energy is -78.23 eV/cell. For the density of states at the Fermi level, the calculation gives 9.02 states/eV per cell.

Cell lengths 6.6455, 6.4396, 6.8951 Å; angles 90.00, 90.00, 90.00 degrees
Space group Pnma (No. 62)
Asymmetric unit:
Ca: 0.1602 0.0087 0.1703 [8 per cell]
Pd: 0.0173 0.2500 0.4976 [4 per cell]
N: 0.1364 0.7500 0.8890 [4 per cell]

---

(5)
The following is a DFT calculation (PBE) of a geometry-optimized Ca6Pd2N structure.

Summary:
Its total energy is -72.32 eV/cell. For the density of states at the Fermi level, the calculation gives 10.85 states/eV per cell.

Cell lengths 6.6932, 7.5323, 11.5911 Å; angles 90.00, 124.25, 90.00 degrees
Space group P2_1/c (No. 14)
Asymmetric unit:
Ca: 0.1261 0.0327 0.2384 [4 per cell]
Ca: 0.2105 0.7094 0.0559 [4 per cell]
Ca: 0.3575 0.1586 0.0559 [4 per cell]
Pd: 0.2858 0.1000 0.7487 [4 per cell]
N: 0.0000 0.0000 0.0000 [2 per cell]

---

(6)
The following is a DFT calculation (PBE) of a geometry-optimized CaPdN2 structure.

Summary:
Its total energy is -61.91 eV/cell. For the density of states at the Fermi level, the calculation gives 7.55 states/eV per cell.

Cell lengths 3.4031, 3.4031, 18.3047 Å; angles 90.00, 90.00, 120.00 degrees
Space group R-3m (No. 166, hexagonal axes)
Asymmetric unit:
Ca: 0.0000 0.0000 0.0000 [3 per cell]
Pd: 0.0000 0.0000 0.5000 [3 per cell]
N: 0.0000 0.0000 0.1199 [6 per cell]

---

(7)
The following is a DFT calculation (PBE) of a geometry-optimized Ca2PdN structure.

Summary:
Its total energy is -58.17 eV/cell. For the density of states at the Fermi level, the calculation gives 2.67 states/eV per cell.

Cell lengths 3.4542, 3.4542, 24.4276 Å; angles 90.00, 90.00, 120.00 degrees
Space group R-3m (No. 166, hexagonal axes)
Asymmetric unit:
Ca: 0.0000 0.0000 0.1142 [6 per cell]
Pd: 0.0000 0.0000 0.0000 [3 per cell]
N: 0.0000 0.0000 0.5000 [3 per cell]

---

(8)
The following is a DFT calculation (PBE) of a geometry-optimized CaPdN2 structure.

Summary:
Its total energy is -90.47 eV/cell. For the density of states at the Fermi level, the calculation gives 16.23 states/eV per cell.

Cell lengths 4.9081, 4.9081, 10.3927 Å; angles 90.00, 90.00, 90.00 degrees
Space group I-42d (No. 122)
Asymmetric unit:
Ca: 0.0000 0.0000 0.0000 [4 per cell]
Pd: 0.0000 0.0000 0.5000 [4 per cell]
N: 0.1872 0.2500 0.6250 [8 per cell]

---

What is the formula in the seventh record? Ca2PdN